# BaPmEu2 | the Alexandria database | GGA-PBE | optimized geometry
# Formation energy from the elements: 0.15 eV per atom
# Total moment: 14.9 μB per formula unit
data_BaPmEu2
_chemical_formula_sum 'Ba1 Pm1 Eu2'
_cell_length_a 6.3177
_cell_length_b 6.3177
_cell_length_c 4.3513
_cell_angle_alpha 90.00
_cell_angle_beta 90.00
_cell_angle_gamma 90.00
_space_group_name_H-M_alt 'P 4/m m m'
_space_group_IT_number 123
_space_group_name_Hall '-P 4 2'
loop_
_atom_site_label
_atom_site_type_symbol
_atom_site_fract_x
_atom_site_fract_y
_atom_site_fract_z
Ba1 Ba 0.0000 0.0000 0.0000
Pm1 Pm 0.5000 0.5000 0.0000
Eu1 Eu 0.0000 0.5000 0.5000